[1]
Crystalline GdScZnPd at its relaxed geometry. Source: the Alexandria database, functional PBE.

a b c (Å): 4.897 4.897 4.897
angles (deg): 60.00 60.00 60.00
Fractional positions:
Gd  0.000  0.000  0.000
Sc  0.500  0.500  0.500
Zn  0.250  0.250  0.250
Pd  0.750  0.750  0.750

Computed properties:
Energy of formation = -0.558 eV/atom


[2]
Crystalline GdPdSe2 at its relaxed geometry. Source: the Alexandria database, functional PBE.

a b c (Å): 8.607 8.607 8.607
angles (deg): 25.60 25.60 25.60
Fractional positions:
Gd  0.000  0.000  0.000
Pd  0.500  0.500  0.500
Se  0.113  0.113  0.113
Se  0.887  0.887  0.887

Computed properties:
ΔE_f (raw) = -377.4 meV per atom


[3]
Crystalline GdSiPd at its relaxed geometry. Source: the Alexandria database, functional PBE.

a b c (Å): 4.356 4.356 3.625
angles (deg): 90.00 90.00 120.00
Fractional positions:
Gd  0.000  0.000  0.000
Si  0.667  0.333  0.500
Pd  0.333  0.667  0.500

Computed properties:
ΔE_f (raw) = -930.7 meV per atom


[4]
Crystalline Gd2SiPd at its relaxed geometry. Source: the Alexandria database, functional PBE.

a b c (Å): 3.493 3.493 7.284
angles (deg): 90.00 90.00 90.00
Fractional positions:
Gd  0.000  0.000  0.249
Gd  0.000  0.000  0.751
Si  0.500  0.500  0.000
Pd  0.500  0.500  0.500

Computed properties:
ΔE_f (raw) = -694.0 meV per atom


Number 1: theoretical density 7.48 Mg/m³, spin magnetization 7.14 μB/cell. Number 2: theoretical density 6.68 Mg/m³, spin magnetization 7.20 μB/cell. Number 3: theoretical density 8.13 Mg/m³, spin magnetization 7.06 μB/cell. Number 4: theoretical density 8.39 Mg/m³, spin magnetization 14.04 μB/cell.